Material: TmZr3
Method: DFT, PBE-GGA
State: relaxed

The structure in POSCAR format:
```
TmZr3
1.0
4.609 0.000 0.000
0.000 4.609 0.000
0.000 0.000 4.609
Tm Zr
1 3
Direct
0.000 0.000 0.000
0.000 0.500 0.500
0.500 0.000 0.500
0.500 0.500 0.000
```

Calculated values
total DFT energy (no corrections): -29.8 eV for the cell shown
DOS(E_F): 6.4 states/eV per cell